! MnGaOF2 GGA+U optimized geometry; values from VASP
! Fermi-level density of states: 0.208 states/eV/atom
! Energy above the most stable polymorph in this dataset: 153 meV/atom
&SYSTEM
  ibrav = 0, nat = 5, ntyp = 4
/
ATOMIC_SPECIES
Mn 54.94 Mn.upf
Ga 69.72 Ga.upf
O 16.00 O.upf
F 19.00 F.upf
CELL_PARAMETERS angstrom
4.281 0.000 0.000
0.000 4.281 0.000
0.000 0.000 3.764
ATOMIC_POSITIONS angstrom
Mn 0.000 0.000 0.000
Ga 2.140 2.140 1.882
O 2.140 2.140 0.000
F 0.000 2.140 1.882
F 2.140 0.000 1.882